# Pr2Zn3Ru2 | Alexandria | PBE | optimized geometry
data_Pr2Zn3Ru2
_chemical_formula_sum 'Pr4 Zn6 Ru4'
_cell_length_a 10.163
_cell_length_b 4.178
_cell_length_c 7.234
_cell_angle_alpha 90.00
_cell_angle_beta 113.83
_cell_angle_gamma 90.00
_space_group_name_H-M_alt 'C 1 2/m 1'
_space_group_IT_number 12
loop_
_space_group_symop_operation_xyz
'x,y,z'
'-x,-y,-z'
'-x,y,-z'
'x,-y,z'
'x+1/2,y+1/2,z'
'-x+1/2,-y+1/2,-z'
'-x+1/2,y+1/2,-z'
'x+1/2,-y+1/2,z'
loop_
_atom_site_label
_atom_site_type_symbol
_atom_site_fract_x
_atom_site_fract_y
_atom_site_fract_z
Pr1 Pr 0.139 0.000 0.269
Zn1 Zn 0.000 0.500 0.500
Zn2 Zn 0.147 0.500 0.937
Ru1 Ru 0.134 0.000 0.697
# D(E_F) in states/eV per atom: 0.77
# E_form in meV per atom: -249